# 1
{"formula": "Ce4C2Br3", "functional": "PBE", "state": "relaxed", "sg": "C2/m (12)", "total_magnetization_mub_per_cell": 4.2, "e_form_raw_ev_per_fu": -7.97, "lattice_angstrom": [[3.622, 0.000, 0.000], [-1.811, 7.302, -0.051], [0.000, -1.982, 8.644]], "species": ["C", "C", "Ce", "Ce", "Ce", "Ce", "Br", "Br", "Br"], "frac_coords": [[0.692, 0.384, 0.841], [0.308, 0.616, 0.159], [0.318, 0.636, 0.895], [0.908, 0.817, 0.289], [0.092, 0.183, 0.711], [0.682, 0.364, 0.105], [0.000, 0.000, 0.000], [0.402, 0.804, 0.590], [0.598, 0.196, 0.410]]}

---

# 2
{"formula": "Ce4C2Br5", "functional": "PBE", "state": "relaxed", "sg": "C2/m (12)", "total_magnetization_mub_per_cell": 4.3, "e_form_raw_ev_per_fu": -14.50, "lattice_angstrom": [[3.895, -0.001, 0.000], [0.001, 8.265, 0.795], [-1.947, -3.219, 9.017]], "species": ["C", "C", "Ce", "Ce", "Ce", "Ce", "Br", "Br", "Br", "Br", "Br"], "frac_coords": [[0.462, 0.478, 0.924], [0.538, 0.522, 0.076], [0.661, 0.597, 0.321], [0.339, 0.403, 0.679], [0.001, 0.302, 0.002], [0.999, 0.698, 0.998], [0.840, 0.134, 0.680], [0.834, 0.678, 0.667], [0.166, 0.322, 0.333], [0.160, 0.866, 0.320], [0.500, 0.000, 0.000]]}

---

# 3
{"formula": "CeCBr", "functional": "PBE", "state": "relaxed", "sg": "Immm (71)", "total_magnetization_mub_per_cell": 3.1, "e_form_raw_ev_per_fu": -1.74, "lattice_angstrom": [[4.364, 0.000, 0.000], [0.000, 4.151, 0.000], [-2.182, -2.076, 8.133]], "species": ["C", "C", "Ce", "Ce", "Br", "Br"], "frac_coords": [[0.351, 0.500, 0.000], [0.649, 0.500, 0.000], [0.886, 0.386, 0.772], [0.114, 0.614, 0.228], [0.677, 0.177, 0.354], [0.323, 0.823, 0.646]]}

---

# 4
{"formula": "Ce4C2Br5", "functional": "PBE", "state": "relaxed", "sg": "P-1 (2)", "total_magnetization_mub_per_cell": 3.6, "e_form_raw_ev_per_fu": -14.39, "lattice_angstrom": [[4.098, -0.147, -0.889], [-0.767, 8.297, -1.902], [-0.068, 0.111, 9.248]], "species": ["Ce", "Ce", "Ce", "Ce", "Br", "Br", "Br", "Br", "Br", "C", "C"], "frac_coords": [[0.042, 0.288, 0.003], [0.639, 0.572, 0.279], [0.958, 0.712, 0.997], [0.361, 0.428, 0.721], [0.500, 0.000, 0.000], [0.805, 0.168, 0.665], [0.855, 0.664, 0.653], [0.145, 0.336, 0.347], [0.195, 0.832, 0.335], [0.612, 0.443, 0.001], [0.388, 0.557, 0.999]]}

---

# 5
{"formula": "Ce6C3BrCl2", "functional": "PBE", "state": "relaxed", "sg": "C2/m (12)", "total_magnetization_mub_per_cell": 3.8, "e_form_raw_ev_per_fu": -11.13, "lattice_angstrom": [[-3.000, 2.136, -0.178], [-2.055, -3.498, -7.368], [-1.990, -5.381, 7.171]], "species": ["C", "C", "C", "Ce", "Ce", "Ce", "Ce", "Ce", "Ce", "Cl", "Cl", "Br"], "frac_coords": [[0.166, 0.833, 0.333], [0.500, 0.500, 0.000], [0.834, 0.167, 0.667], [0.013, 0.714, 0.025], [0.319, 0.948, 0.638], [0.681, 0.052, 0.362], [0.346, 0.384, 0.692], [0.987, 0.286, 0.975], [0.654, 0.616, 0.308], [0.832, 0.665, 0.665], [0.168, 0.335, 0.335], [0.500, 0.000, 0.000]]}

---

# 6
{"formula": "Ce8C3Br4Cl", "functional": "PBE", "state": "relaxed", "sg": "R-3m (166)", "total_magnetization_mub_per_cell": 6.1, "e_form_raw_ev_per_fu": -14.95, "lattice_angstrom": [[-0.137, -3.049, -6.962], [8.144, -2.573, 0.967], [-4.924, -2.369, 5.285]], "species": ["Ce", "Ce", "Ce", "Ce", "Ce", "Ce", "Ce", "Ce", "C", "C", "C", "Br", "Br", "Br", "Br", "Cl"], "frac_coords": [[0.291, 0.308, 0.050], [0.242, 0.692, 0.950], [0.242, 0.692, 0.484], [0.272, 0.316, 0.544], [0.709, 0.692, 0.950], [0.758, 0.308, 0.516], [0.758, 0.308, 0.050], [0.728, 0.684, 0.456], [0.500, 0.500, 0.000], [0.000, 0.500, 0.500], [0.500, 0.500, 0.500], [0.000, 0.000, 0.500], [0.500, 0.000, 0.500], [0.500, 0.000, 0.000], [0.000, 0.000, 0.000], [0.000, 0.500, 0.000]]}

---

# 7
{"formula": "Ce6C2Br3Cl", "functional": "PBE", "state": "relaxed", "sg": "C2/m (12)", "total_magnetization_mub_per_cell": 4.8, "e_form_raw_ev_per_fu": -11.73, "lattice_angstrom": [[-4.739, -2.544, -3.860], [5.257, -3.672, 1.645], [-3.740, -0.353, 6.718]], "species": ["Ce", "Ce", "Ce", "Ce", "Ce", "Ce", "Br", "Br", "Br", "Cl", "C", "C"], "frac_coords": [[0.577, 0.936, 0.807], [0.294, 0.294, 0.808], [0.064, 0.423, 0.193], [0.423, 0.064, 0.193], [0.936, 0.577, 0.807], [0.706, 0.706, 0.192], [0.500, 0.500, 0.500], [0.839, 0.161, 0.500], [0.161, 0.839, 0.500], [0.000, 0.000, 0.000], [0.333, 0.667, 0.000], [0.667, 0.333, 0.000]]}

---

# 8
{"formula": "Ce6Co2CBr3", "functional": "PBE", "state": "relaxed", "sg": "C2/m (12)", "total_magnetization_mub_per_cell": 5.2, "e_form_raw_ev_per_fu": -8.66, "lattice_angstrom": [[-6.558, -1.483, -1.117], [4.425, -4.675, 2.240], [-0.979, 3.759, 6.779]], "species": ["Ce", "Ce", "Ce", "Ce", "Ce", "Ce", "Br", "Br", "Br", "C", "Co", "Co"], "frac_coords": [[0.241, 0.241, 0.803], [0.759, 0.759, 0.197], [0.388, 0.077, 0.181], [0.612, 0.923, 0.819], [0.923, 0.612, 0.819], [0.077, 0.388, 0.181], [0.173, 0.827, 0.500], [0.827, 0.173, 0.500], [0.500, 0.500, 0.500], [0.000, 0.000, 0.000], [0.664, 0.336, 0.000], [0.336, 0.664, 0.000]]}